This record from Alexandria describes a relaxed structure of SrAl2Au. The functional is PBE-GGA.

```
SrAl2Au
1.0
5.062 0.000 0.000
0.000 5.062 0.000
2.531 2.531 8.818
Al Au Sr
4 2 2
Direct
0.375 0.127 0.750 Al
0.875 0.123 0.750 Al
0.877 0.625 0.250 Al
0.873 0.125 0.250 Al
0.000 0.000 0.000 Au
0.750 0.250 0.500 Au
0.500 0.500 0.000 Sr
0.250 0.750 0.500 Sr
```

Computed properties:
* density of states at the Fermi level: 5.6 states/eV per cell
* energy relative to the elements: -0.2629 eV/atom
* space-group type: I-42d (122)
* volume: 28.2 Å³ per atom